# PBE with a Hubbard U CrGeSbO6, optimized geometry
data_CrGeSbO6
_symmetry_space_group_name_H-M 'P 42 n m'
_symmetry_Int_Tables_number 102
_cell_length_a 4.603
_cell_length_b 4.603
_cell_length_c 9.129
_cell_angle_alpha 90.00
_cell_angle_beta 90.00
_cell_angle_gamma 90.00
loop_
_symmetry_equiv_pos_as_xyz
'x,y,z'
'-y+1/2,x+1/2,z+1/2'
'-x,-y,z'
'y+1/2,-x+1/2,z+1/2'
'-x+1/2,y+1/2,z+1/2'
'y,x,z'
'x+1/2,-y+1/2,z+1/2'
'-y,-x,z'
loop_
_atom_site_label
_atom_site_fract_x
_atom_site_fract_y
_atom_site_fract_z
Cr1 0.000 0.000 0.000
Ge1 0.000 0.000 0.667
Sb1 0.000 0.000 0.333
O1 0.190 0.190 0.827
O2 0.191 0.191 0.506
O3 0.201 0.201 0.167
# Volume ... 96.7 Å³/f.u.
# Total DFT energy (no corrections) ... -6.760 eV per atom
# DOS at the Fermi energy ... 0.000 states/eV per atom